NaOs2Se2 | PBE-GGA | optimized geometry

Unit cell a=4.636 b=4.636 c=5.535 alpha=65.24 beta=65.24 gamma=90.00
Positions (direct):
Na: 0.000 0.000 0.000
Os: 0.363 0.363 0.275
Os: 0.637 0.637 0.725
Se: 0.750 0.250 0.500
Se: 0.250 0.750 0.500

Calculated values
- total energy (eV/atom) = -5.7789
- relative energy among the computed polymorphs (meV/atom) = 0.0
- density of states at the Fermi level (states/eV/f.u.) = 6.3
- total moment (μB per cell) = 0.0



NaOs3Se | PBE-GGA | optimized geometry

Unit cell a=4.506 b=4.506 c=4.506 alpha=90.00 beta=90.00 gamma=90.00
Last column: magnetic moment on the atom in μB.
Positions (direct):
Na: 0.000 0.000 0.000  -0.01
Os: 0.000 0.500 0.000  0.35
Os: 0.000 0.000 0.500  0.23
Os: 0.500 0.000 0.000  0.30
Se: 0.500 0.500 0.500  -0.05

Calculated values
- total energy (eV/atom) = -4.4891
- relative energy among the computed polymorphs (meV/atom) = 1548.2
- density of states at the Fermi level (states/eV/f.u.) = 4.2
- total moment (μB per cell) = 0.9



Na2OsSe2 | PBE-GGA | optimized geometry

Unit cell a=7.606 b=7.606 c=3.210 alpha=90.00 beta=90.00 gamma=90.00
Last column: magnetic moment on the atom in μB.
Positions (direct):
Na: 0.387 0.887 0.000  0.00
Na: 0.887 0.613 0.000  0.00
Na: 0.613 0.113 0.000  0.00
Na: 0.113 0.387 0.000  0.00
Os: 0.000 0.000 0.000  1.25
Os: 0.500 0.500 0.000  1.24
Se: 0.193 0.693 0.500  -0.04
Se: 0.693 0.807 0.500  -0.04
Se: 0.807 0.307 0.500  -0.04
Se: 0.307 0.193 0.500  -0.04

Calculated values
- total energy (eV/atom) = -3.6628
- relative energy among the computed polymorphs (meV/atom) = 0.0
- density of states at the Fermi level (states/eV/f.u.) = 3.4
- total moment (μB per cell) = 2.6



NaOsSe3 | PBE-GGA | optimized geometry

Unit cell a=4.994 b=4.994 c=4.994 alpha=90.00 beta=90.00 gamma=90.00
Last column: magnetic moment on the atom in μB.
Positions (direct):
Na: 0.500 0.500 0.500  0.01
Os: 0.000 0.000 0.000  0.93
Se: 0.000 0.500 0.000  0.13
Se: 0.000 0.000 0.500  0.04
Se: 0.500 0.000 0.000  0.16

Calculated values
- total energy (eV/atom) = -4.4130
- relative energy among the computed polymorphs (meV/atom) = 0.0
- density of states at the Fermi level (states/eV/f.u.) = 7.4
- total moment (μB per cell) = 1.6



NaOs2Se | PBE-GGA | optimized geometry

Unit cell a=7.535 b=7.535 c=5.903 alpha=50.34 beta=50.34 gamma=90.00
Positions (direct):
Na: 0.500 0.500 0.000
Na: 0.250 0.750 0.500
Os: 0.698 0.125 0.250
Os: 0.052 0.625 0.250
Os: 0.375 0.302 0.750
Os: 0.875 0.948 0.750
Se: 0.000 0.000 0.000
Se: 0.750 0.250 0.500

Calculated values
- total energy (eV/atom) = -5.7821
- density of states at the Fermi level (states/eV/f.u.) = 4.8
- total moment (μB per cell) = 0.0



NaOs2Se2 | PBE-GGA | optimized geometry

Unit cell a=7.533 b=7.533 c=3.013 alpha=90.00 beta=90.00 gamma=90.00
Positions (direct):
Na: 0.000 0.000 0.000
Na: 0.500 0.500 0.000
Os: 0.372 0.872 0.000
Os: 0.872 0.628 0.000
Os: 0.628 0.128 0.000
Os: 0.128 0.372 0.000
Se: 0.173 0.673 0.500
Se: 0.673 0.827 0.500
Se: 0.827 0.327 0.500
Se: 0.327 0.173 0.500

Calculated values
- total energy (eV/atom) = -5.5575
- relative energy among the computed polymorphs (meV/atom) = 221.4
- density of states at the Fermi level (states/eV/f.u.) = 3.8
- total moment (μB per cell) = 0.0



NaTeOs2Se | PBE-GGA | optimized geometry

Unit cell a=4.868 b=5.520 c=4.868 alpha=90.00 beta=90.00 gamma=90.00
Last column: magnetic moment on the atom in μB.
Positions (direct):
Na: 0.000 0.500 0.000  0.00
Te: 0.000 0.000 0.000  -0.02
Os: 0.000 0.000 0.500  0.77
Os: 0.500 0.000 0.000  0.81
Se: 0.500 0.500 0.500  0.10

Calculated values
- total energy (eV/atom) = -4.4174
- density of states at the Fermi level (states/eV/f.u.) = 4.7
- total moment (μB per cell) = 1.8



Na2TlOsSe | PBE-GGA | optimized geometry

Unit cell a=5.628 b=4.568 c=5.628 alpha=90.00 beta=90.00 gamma=90.00
Positions (direct):
Na: 0.000 0.000 0.500
Na: 0.500 0.000 0.000
Tl: 0.500 0.500 0.500
Os: 0.000 0.000 0.000
Se: 0.000 0.500 0.000

Calculated values
- total energy (eV/atom) = -3.6148
- density of states at the Fermi level (states/eV/f.u.) = 1.8
- total moment (μB per cell) = 0.0



E_form (uncorrected) values, unit eV per formula unit, following the record order: 1.85; 16.05; 2.52; 0.94; 4.13; 2.96; 8.32; 1.64.
Calculated density values, unit g cm⁻³, following the record order: 9.724; 12.210; 7.049; 6.000; 11.102; 10.903; 7.744; 5.964.